No. 1
Cs2NdInS4 | PBE | relaxed

Computed properties:
Space group: Imma
E_form (uncorrected) in eV/atom: -1.183

a b c (Å): 8.7906 8.7906 8.8099
angles (deg): 120.04 120.04 90.70
Last column: nearest neighbours and their distance in Å.
Atoms (fractional coordinates):
S (0.7672, 0.7340, 0.9497)  2 In 2.79-2.80, 1 Nd 2.95
S (0.8116, 0.2646, 0.0382)  1 In 2.85, 2 Nd 2.88
S (0.2354, 0.6884, 0.4618)  1 In 2.85, 2 Nd 2.88
S (0.2340, 0.2672, 0.4497)  2 In 2.79-2.80, 1 Nd 2.95
S (0.1885, 0.7354, 0.9618)  1 In 2.85, 2 Nd 2.88
S (0.2328, 0.2660, 0.0503)  2 In 2.79-2.80, 1 Nd 2.95
S (0.7660, 0.7328, 0.5503)  2 In 2.79-2.80, 1 Nd 2.95
S (0.7646, 0.3115, 0.5382)  1 In 2.85, 2 Nd 2.88
In (0.5000, 0.5000, 0.5000)  6 S 2.79-2.85
In (0.0000, 0.0000, 0.0000)  6 S 2.79-2.85
Cs (0.5000, 0.0000, 0.5000)  6 S 3.34-3.36
Cs (0.5000, 0.0000, 0.0000)  6 S 3.34-3.36
Cs (0.0000, 0.0000, 0.5000)  6 S 3.43-3.44
Cs (0.5000, 0.5000, 0.0000)  6 S 3.43-3.44
Nd (0.0000, 0.5000, 0.5000)  6 S 2.88-2.95
Nd (0.0000, 0.5000, 0.0000)  6 S 2.88-2.95

=====

No. 2
Cs3Nd3InTe8 | PBE | relaxed

Computed properties:
Space group: C2/m
E_form (uncorrected) in eV/atom: -1.104

a b c (Å): 9.0702 9.0819 10.6478
angles (deg): 115.30 90.00 119.96
Last column: nearest neighbours and their distance in Å.
Atoms (fractional coordinates):
Cs (0.0000, 0.0000, 0.0000)  6 Te 3.84-3.87
Cs (0.0000, 0.5000, 0.0000)  6 Te 3.84-3.87
Cs (0.5000, 0.5000, 0.0000)  6 Te 3.84-3.87
Nd (0.0000, 0.5000, 0.5000)  6 Te 3.19
Nd (0.5000, 0.5000, 0.5000)  6 Te 3.19
Nd (0.5000, 0.0000, 0.5000)  6 Te 3.19
Te (0.2243, 0.4486, 0.6891)  1 In 3.08, 2 Nd 3.19
Te (0.2603, 0.0354, 0.3105)  1 In 3.09, 2 Nd 3.19
Te (0.7757, 0.5514, 0.3109)  1 In 3.08, 2 Nd 3.19
Te (0.2249, 0.9646, 0.6895)  1 In 3.09, 2 Nd 3.19
Te (0.7751, 0.0354, 0.3105)  1 In 3.09, 2 Nd 3.19
Te (0.7397, 0.9646, 0.6895)  1 In 3.09, 2 Nd 3.19
Te (0.2677, 0.5355, 0.3033)  3 Nd 3.19
Te (0.7323, 0.4645, 0.6967)  3 Nd 3.19
In (0.0000, 0.0000, 0.5000)  6 Te 3.08-3.09

=====

No. 3
CsNdInTe3 | PBE | relaxed

Computed properties:
Space group: P2_1/m
E_form (uncorrected) in eV/atom: -0.969

a b c (Å): 4.7039 10.2272 11.4711
angles (deg): 106.22 90.00 90.00
Last column: nearest neighbours and their distance in Å.
Atoms (fractional coordinates):
Te (0.2500, 0.7748, 0.4272)  3 In 2.98-3.23
Te (0.7500, 0.2252, 0.5728)  3 In 2.98-3.23
Te (0.2500, 0.1278, 0.8867)  1 In 2.91, 2 Nd 3.23
Te (0.7500, 0.4620, 0.1590)  3 Nd 3.13-3.20
Te (0.7500, 0.8722, 0.1133)  1 In 2.91, 2 Nd 3.23
Te (0.2500, 0.5380, 0.8410)  3 Nd 3.13-3.20
Nd (0.2500, 0.6591, 0.1236)  6 Te 3.13-3.35
Nd (0.7500, 0.3409, 0.8764)  6 Te 3.13-3.35
Cs (0.7500, 0.7949, 0.7552)  5 Te 3.85-4.07, 2 In 4.26
Cs (0.2500, 0.2051, 0.2448)  5 Te 3.85-4.07, 2 In 4.26
In (0.7500, 0.9288, 0.3761)  4 Te 2.91-3.23
In (0.2500, 0.0712, 0.6239)  4 Te 2.91-3.23

=====

No. 4
Cs2InNi | PBE | relaxed

Computed properties:
Space group: I-42d
E_form in meV per atom: 232

a b c (Å): 9.6999 9.6999 9.6999
angles (deg): 93.80 93.80 150.15
Last column: nearest neighbours and their distance in Å.
Atoms (fractional coordinates):
Cs (0.1250, 0.3103, 0.6853)  2 Ni 3.48
Cs (0.5603, 0.8750, 0.1853)  2 Ni 3.48
Cs (0.6250, 0.4397, 0.3147)  2 Ni 3.48
Cs (0.6897, 0.3750, 0.8147)  2 Ni 3.48
In (0.0000, 0.0000, 0.0000)  2 Ni 2.50
In (0.2500, 0.7500, 0.5000)  2 Ni 2.50
Ni (0.7500, 0.2500, 0.5000)  2 In 2.50
Ni (0.5000, 0.5000, 0.0000)  2 In 2.50

=====

No. 5
CsInNi2 | PBE | relaxed

Computed properties:
Space group: I-42d
E_form in meV per atom: 780

a b c (Å): 7.8153 7.8153 6.6187
angles (deg): 53.81 53.81 90.00
Last column: nearest neighbours and their distance in Å.
Atoms (fractional coordinates):
Ni (0.2117, 0.6250, 0.2500)  2 In 2.51
Ni (0.3750, 0.4617, 0.7500)  2 In 2.51
Ni (0.5383, 0.1250, 0.2500)  2 In 2.51
Ni (0.8750, 0.7883, 0.7500)  2 In 2.51
Cs (0.7500, 0.2500, 0.5000)  8 Ni 3.40-3.59, 2 In 3.64
Cs (0.0000, 0.0000, 0.0000)  8 Ni 3.40-3.59, 2 In 3.64
In (0.2500, 0.7500, 0.5000)  4 Ni 2.51
In (0.5000, 0.5000, 0.0000)  4 Ni 2.51

=====

No. 6
Cs2In4Ni | PBE | relaxed

Computed properties:
Space group: I4/mmm
E_form in meV per atom: -35

a b c (Å): 5.0665 5.0665 11.1920
angles (deg): 76.92 76.92 90.00
Last column: nearest neighbours and their distance in Å.
Atoms (fractional coordinates):
Cs (0.3269, 0.3269, 0.3462)  4 In 3.77
Cs (0.6731, 0.6731, 0.6538)  4 In 3.77
In (0.0000, 0.5000, 0.0000)  2 Ni 2.53
In (0.5000, 0.0000, 0.0000)  2 Ni 2.53
In (0.8822, 0.8822, 0.2356)  1 Ni 2.50
In (0.1178, 0.1178, 0.7644)  1 Ni 2.50
Ni (0.0000, 0.0000, 0.0000)  6 In 2.50-2.53

=====

No. 7
CsIn3Ni | PBE | relaxed

Computed properties:
Space group: Pm-3m
E_form in meV per atom: 5

a b c (Å): 5.2315 5.2315 5.2315
angles (deg): 90.00 90.00 90.00
Last column: nearest neighbours and their distance in Å.
Atoms (fractional coordinates):
In (0.0000, 0.5000, 0.0000)  2 Ni 2.62
In (0.5000, 0.0000, 0.0000)  2 Ni 2.62
In (0.0000, 0.0000, 0.5000)  2 Ni 2.62
Ni (0.0000, 0.0000, 0.0000)  6 In 2.62
Cs (0.5000, 0.5000, 0.5000)  12 In 3.70

=====

No. 8
CsInNiP2 | PBE | relaxed

Computed properties:
Space group: P4/mmm
E_form in meV per atom: 463

a b c (Å): 4.6301 5.7403 4.6301
angles (deg): 90.00 90.00 90.00
Last column: nearest neighbours and their distance in Å.
Atoms (fractional coordinates):
P (0.0000, 0.0000, 0.5000)  2 Ni 2.32
P (0.5000, 0.0000, 0.0000)  2 Ni 2.32
Cs (0.0000, 0.5000, 0.0000)  2 Ni 2.87
Ni (0.0000, 0.0000, 0.0000)  4 P 2.32
In (0.5000, 0.5000, 0.5000)  4 Cs 3.27

=====

No. 9
CsIn2NiSn | PBE | relaxed

Computed properties:
Space group: P4/mmm
E_form in meV per atom: 36

a b c (Å): 5.2482 5.2482 5.2209
angles (deg): 90.00 90.00 90.00
Last column: nearest neighbours and their distance in Å.
Atoms (fractional coordinates):
Cs (0.5000, 0.5000, 0.5000)  8 In 3.70, 4 Sn 3.71
In (0.0000, 0.5000, 0.0000)  2 Ni 2.62
In (0.5000, 0.0000, 0.0000)  2 Ni 2.62
Sn (0.0000, 0.0000, 0.5000)  2 Ni 2.61
Ni (0.0000, 0.0000, 0.0000)  2 Sn 2.61, 4 In 2.62

=====

No. 10
CsTiInNi2 | PBE | relaxed

Computed properties:
Space group: P4/mmm
E_form in meV per atom: 1935

a b c (Å): 4.7871 6.0880 4.7871
angles (deg): 90.00 90.00 90.00
Last column: nearest neighbours and their distance in Å.
Atoms (fractional coordinates):
Ni (0.5000, 0.0000, 0.0000)  2 Cs 2.39
Ni (0.0000, 0.0000, 0.5000)  2 Cs 2.39
Ti (0.5000, 0.5000, 0.5000)  4 In 3.38
In (0.0000, 0.5000, 0.0000)  2 Cs 3.04, 4 Ti 3.38
Cs (0.0000, 0.0000, 0.0000)  4 Ni 2.39

=====

No. 11
CsTlIn2Ni | PBE | relaxed

Computed properties:
Space group: P4/mmm
E_form in meV per atom: 27

a b c (Å): 5.2130 5.2130 5.4687
angles (deg): 90.00 90.00 90.00
Last column: nearest neighbours and their distance in Å.
Atoms (fractional coordinates):
In (0.0000, 0.5000, 0.0000)  2 Ni 2.61
In (0.5000, 0.0000, 0.0000)  2 Ni 2.61
Cs (0.5000, 0.5000, 0.5000)  4 Tl 3.69, 8 In 3.78
Tl (0.0000, 0.0000, 0.5000)  2 Ni 2.73
Ni (0.0000, 0.0000, 0.0000)  4 In 2.61, 2 Tl 2.73

=====

No. 12
CsZn2InNi | PBE | relaxed

Computed properties:
Space group: P4/mmm
E_form in meV per atom: 54

a b c (Å): 5.0212 5.0212 5.0276
angles (deg): 90.00 90.00 90.00
Last column: nearest neighbours and their distance in Å.
Atoms (fractional coordinates):
Zn (0.0000, 0.5000, 0.0000)  2 Ni 2.51
Zn (0.5000, 0.0000, 0.0000)  2 Ni 2.51
In (0.0000, 0.0000, 0.5000)  2 Ni 2.51
Cs (0.5000, 0.5000, 0.5000)  4 In 3.55, 8 Zn 3.55
Ni (0.0000, 0.0000, 0.0000)  4 Zn 2.51, 2 In 2.51

=====

no.,density (g cm⁻³),VASP energy (eV/atom)
1,4.54,-4.40
2,4.94,-4.09
3,4.86,-3.93
4,3.32,-2.33
5,5.45,-3.01
6,4.78,-2.67
7,6.22,-2.96
8,4.97,-3.58
9,6.23,-3.19
10,4.92,-2.67
11,6.99,-2.87
12,5.73,-2.33